Entry 1:
DFT (PBE-GGA) results for a geometry-optimized ZrFeSi structure.

a b c (Å): 2.946 2.946 10.109
angles (deg): 90.00 90.00 90.00
Space group I4mm (No. 107)
Symmetry-distinct sites (fractional):
Zr 0.000 0.000 0.000 (multiplicity 2)
Fe 0.000 0.000 0.687 (multiplicity 2)
Si 0.000 0.000 0.297 (multiplicity 2)

## Properties
* formation energy without anion corrections: -39.2 kJ per mole of atoms
* total moment: 0.001 μB per cell
* density of states at the Fermi level: 0.657 states/eV per atom

=====

Entry 2:
DFT (PBE-GGA) results for a geometry-optimized SmY5Pb4 structure.

a b c (Å): 18.084 4.598 7.981
angles (deg): 90.00 102.10 90.00
Space group C2/m (No. 12)
Symmetry-distinct sites (fractional):
Sm 0.000 0.000 0.000 (multiplicity 2)
Y 0.000 0.000 0.500 (multiplicity 2)
Y 0.140 0.500 0.731 (multiplicity 4)
Y 0.208 0.500 0.313 (multiplicity 4)
Pb 0.038 0.500 0.280 (multiplicity 4)
Pb 0.185 0.000 0.018 (multiplicity 4)

## Properties
* total moment: 1.031 μB per cell
* density of states at the Fermi level: 1.005 states/eV per atom
* energy relative to the elements: -0.28 eV per atom

=====

Entry 3:
DFT (PBE-GGA) results for a geometry-optimized Y2HfCdN structure.

a b c (Å): 4.839 4.839 4.460
angles (deg): 90.00 90.00 90.00
Space group P4/mmm (No. 123)
Symmetry-distinct sites (fractional):
Y 0.000 0.500 0.000 (multiplicity 2)
Hf 0.000 0.000 0.500 (multiplicity 1)
Cd 0.500 0.500 0.500 (multiplicity 1)
N 0.000 0.000 0.000 (multiplicity 1)

## Properties
* formation energy without anion corrections: -76.1 kJ per mole of atoms
* total moment: 0.000 μB per cell
* density of states at the Fermi level: 0.629 states/eV per atom

=====

Entry 4:
DFT (PBE-GGA) results for a geometry-optimized NbPOsRuSeS structure.

a b c (Å): 4.364 5.220 5.332
angles (deg): 112.33 112.78 95.45
Space group P1 (No. 1)
Symmetry-distinct sites (fractional):
Nb 0.000 0.000 0.000 (multiplicity 1)
P 0.371 0.991 0.740 (multiplicity 1)
Os 0.293 0.623 0.278 (multiplicity 1)
Ru 0.232 0.411 0.688 (multiplicity 1)
Se 0.604 0.304 0.437 (multiplicity 1)
S 0.735 0.674 0.135 (multiplicity 1)

## Properties
* formation energy without anion corrections: -15.4 kJ per mole of atoms
* total moment: 0.000 μB per cell
* density of states at the Fermi level: 0.325 states/eV per atom
* E above lowest polymorph: 24.5 kJ/mol of atoms